Material: NaMg2Cu2
Method: DFT, PBE
State: optimized geometry

Results
E_form: 0.0415 eV/atom

a b c (Å): 7.9378 7.9378 2.9246
angles (deg): 90.00 90.00 90.00
Space group P4/mbm (No. 127)
Inequivalent atoms, fractional coordinates:
Na 0.0000 0.0000 0.0000 x2
Mg 0.1336 0.3664 0.0000 x4
Cu 0.1609 0.6609 0.5000 x4

Material: NaMgCuO2
Method: DFT, PBE
State: optimized geometry

Results
formation energy (no corrections): -1.504 eV/atom

a b c (Å): 5.3907 5.1819 5.6616
angles (deg): 90.00 90.87 90.00
Space group P2/c (No. 13)
Inequivalent atoms, fractional coordinates:
Na 0.0000 0.1813 0.2500 x2
Mg 0.5000 0.4860 0.7500 x2
Cu 0.5000 0.0000 0.0000 x2
O 0.3165 0.3006 0.4904 x4

Material: NaMg2CuO4
Method: DFT, PBE
State: optimized geometry

Results
formation energy (no corrections): -1.607 eV/atom

a b c (Å): 3.0765 10.6414 11.3832
angles (deg): 90.00 90.00 90.00
Space group Cmcm (No. 63)
Inequivalent atoms, fractional coordinates:
Na 0.0000 0.0971 0.2500 x4
Mg 0.0000 0.3731 0.0351 x8
Cu 0.0000 0.1739 0.7500 x4
O 0.0000 0.0000 0.0000 x4
O 0.0000 0.2486 0.6040 x8
O 0.0000 0.4307 0.2500 x4

Material: NaMgCu2O
Method: DFT, PBE
State: optimized geometry

Results
formation energy (no corrections): 0.994 eV/atom

a b c (Å): 4.5560 4.5560 5.7342
angles (deg): 90.00 90.00 90.00
Space group P4/mmm (No. 123)
Inequivalent atoms, fractional coordinates:
Na 0.0000 0.0000 0.0000 x1
Mg 0.0000 0.0000 0.5000 x1
Cu 0.0000 0.5000 0.5000 x2
O 0.5000 0.5000 0.0000 x1

Material: NaMgCu2P
Method: DFT, PBE
State: optimized geometry

Results
E_form: 0.9953 eV/atom

a b c (Å): 4.6224 4.6224 5.0476
angles (deg): 90.00 90.00 90.00
Space group P4/mmm (No. 123)
Inequivalent atoms, fractional coordinates:
Na 0.0000 0.0000 0.0000 x1
Mg 0.0000 0.0000 0.5000 x1
Cu 0.0000 0.5000 0.5000 x2
P 0.5000 0.5000 0.0000 x1

Material: RbNaMg2Cu
Method: DFT, PBE
State: optimized geometry

Results
E_form: 0.9588 eV/atom

a b c (Å): 6.6739 6.6739 5.8707
angles (deg): 90.00 90.00 90.00
Space group P4/mmm (No. 123)
Inequivalent atoms, fractional coordinates:
Rb 0.0000 0.0000 0.0000 x1
Na 0.5000 0.5000 0.5000 x1
Mg 0.0000 0.5000 0.0000 x2
Cu 0.0000 0.0000 0.5000 x1

Material: RbNa2MgCu
Method: DFT, PBE
State: optimized geometry

Results
E_form: 0.8580 eV/atom

a b c (Å): 6.4179 6.4179 5.6829
angles (deg): 90.00 90.00 90.00
Space group P4/mmm (No. 123)
Inequivalent atoms, fractional coordinates:
Rb 0.0000 0.0000 0.0000 x1
Na 0.0000 0.5000 0.0000 x2
Mg 0.5000 0.5000 0.5000 x1
Cu 0.0000 0.0000 0.5000 x1

Material: NaMg2CuRh
Method: DFT, PBE
State: optimized geometry

Results
E_form: 1.0732 eV/atom

a b c (Å): 4.8184 4.8184 4.3560
angles (deg): 90.00 90.00 90.00
Space group P4/mmm (No. 123)
Inequivalent atoms, fractional coordinates:
Na 0.0000 0.0000 0.0000 x1
Mg 0.0000 0.5000 0.0000 x2
Cu 0.0000 0.0000 0.5000 x1
Rh 0.5000 0.5000 0.5000 x1

Material: Na2MgCuRh
Method: DFT, PBE
State: optimized geometry

Results
E_form: 0.7510 eV/atom

a b c (Å): 4.9188 4.9188 4.9292
angles (deg): 90.00 90.00 90.00
Space group P4/mmm (No. 123)
Inequivalent atoms, fractional coordinates:
Na 0.0000 0.5000 0.0000 x2
Mg 0.0000 0.0000 0.5000 x1
Cu 0.0000 0.0000 0.0000 x1
Rh 0.5000 0.5000 0.5000 x1

Material: NaMgCuRu2
Method: DFT, PBE
State: optimized geometry

Results
E_form: 1.4149 eV/atom

a b c (Å): 4.7167 4.7167 4.6433
angles (deg): 90.00 90.00 90.00
Space group P4/mmm (No. 123)
Inequivalent atoms, fractional coordinates:
Na 0.0000 0.0000 0.0000 x1
Mg 0.5000 0.5000 0.5000 x1
Cu 0.5000 0.5000 0.0000 x1
Ru 0.0000 0.5000 0.5000 x2

Material: NaMgCuS2
Method: DFT, PBE
State: optimized geometry

Results
formation energy (no corrections): -0.937 eV/atom

a b c (Å): 6.4329 5.1640 6.6518
angles (deg): 90.00 99.13 90.00
Space group P2/c (No. 13)
Inequivalent atoms, fractional coordinates:
Na 0.0000 0.1383 0.2500 x2
Mg 0.5000 0.4956 0.7500 x2
Cu 0.5000 0.0000 0.0000 x2
S 0.2585 0.2904 0.9648 x4

Material: Na2MgCu3Sb4
Method: DFT, PBE
State: optimized geometry

Results
formation energy (no corrections): -0.183 eV/atom

a b c (Å): 4.4510 4.4510 11.6714
angles (deg): 90.00 90.00 90.00
Space group P-4m2 (No. 115)
Inequivalent atoms, fractional coordinates:
Na 0.0000 0.5000 0.2461 x2
Mg 0.5000 0.5000 0.0000 x1
Cu 0.0000 0.0000 0.0000 x1
Cu 0.0000 0.5000 0.6358 x2
Sb 0.0000 0.0000 0.5000 x1
Sb 0.0000 0.5000 0.8550 x2
Sb 0.5000 0.5000 0.5000 x1

Material: NaMgCu2Tc
Method: DFT, PBE
State: optimized geometry

Results
E_form: 0.8695 eV/atom

a b c (Å): 4.7433 4.7433 5.0519
angles (deg): 90.00 90.00 90.00
Space group P4/mmm (No. 123)
Inequivalent atoms, fractional coordinates:
Na 0.0000 0.0000 0.0000 x1
Mg 0.5000 0.5000 0.0000 x1
Cu 0.0000 0.5000 0.5000 x2
Tc 0.5000 0.5000 0.5000 x1